Record 1
Density functional theory data (PBE) for Sm4YHg2 after structural relaxation.

The value obtained for the raw total energy is -0.2693 Ry per atom. The energy of formation from the pure elements is 0.30 eV/f.u. The magnetization is 0.978 μB per formula unit. As for the volume: 236.7 Å³/f.u.

Cell lengths 5.1869, 5.1869, 30.4759 Å; angles 90.00, 90.00, 120.00 degrees
Space group R-3m (No. 166, hexagonal axes)
Unique sites:
Sm (0.0000, 0.0000, 0.1082) (multiplicity 6)
Sm (0.0000, 0.0000, 0.2958) (multiplicity 6)
Y (0.0000, 0.0000, 0.5000) (multiplicity 3)
Hg (0.0000, 0.0000, 0.3995) (multiplicity 6)

---

Record 2
Density functional theory data (PBE) for RbTcI2N after structural relaxation.

The value obtained for the raw total energy is -0.3468 Ry per atom. As for the energy above the lowest structure with this stoichiometry: 0 meV per atom. The magnetization is 0.618 μB per formula unit. As for the volume: 134.3 Å³/f.u.

Cell lengths 5.913, 5.913, 3.842 Å; angles 90.00, 90.00, 90.00 degrees
Space group P4/mmm (No. 123)
Unique sites:
Rb (0.000, 0.000, 0.000) (multiplicity 1)
Tc (0.500, 0.500, 0.500) (multiplicity 1)
I (0.000, 0.500, 0.500) (multiplicity 2)
N (0.500, 0.500, 0.000) (multiplicity 1)

---

Record 3
Density functional theory data (PBE) for VGaSe3 after structural relaxation.

The value obtained for the raw total energy is -0.3631 Ry per atom. The magnetization is 0.414 μB per formula unit. As for the volume: 132.6 Å³/f.u.

Cell lengths 3.851, 21.098, 6.528 Å; angles 90.00, 90.00, 90.00 degrees
Space group Cmc2_1 (No. 36)
Unique sites:
V (0.000, 0.117, 0.000) (multiplicity 4)
Ga (0.000, 0.332, 0.084) (multiplicity 4)
Se (0.000, 0.113, 0.347) (multiplicity 4)
Se (0.000, 0.216, 0.849) (multiplicity 4)
Se (0.000, 0.434, 0.354) (multiplicity 4)

---

Record 4
Density functional theory data (PBE) for MgZr2Re after structural relaxation.

The value obtained for the raw total energy is -0.5398 Ry per atom. The energy of formation from the pure elements is 1.76 eV/f.u. The magnetization is 0.000 μB per formula unit. As for the volume: 85.8 Å³/f.u.

Cell lengths 7.697, 7.697, 5.792 Å; angles 90.00, 90.00, 90.00 degrees
Space group I-42d (No. 122)
Unique sites:
Mg (0.000, 0.000, 0.000) (multiplicity 4)
Zr (0.215, 0.250, 0.625) (multiplicity 8)
Re (0.000, 0.000, 0.500) (multiplicity 4)

---

Record 5
Density functional theory data (PBE) for La6YTm5 after structural relaxation.

The value obtained for the raw total energy is -0.3557 Ry per atom. The energy of formation from the pure elements is 0.31 eV/f.u. The magnetization is 0.000 μB per formula unit. As for the volume: 404.4 Å³/f.u.

Cell lengths 6.126, 7.447, 8.887 Å; angles 90.00, 93.97, 90.00 degrees
Space group P2/m (No. 10)
Unique sites:
La (0.000, 0.247, 0.000) (multiplicity 2)
La (0.333, 0.248, 0.665) (multiplicity 4)
Y (0.500, 0.500, 0.000) (multiplicity 1)
Tm (0.166, 0.500, 0.333) (multiplicity 2)
Tm (0.167, 0.000, 0.333) (multiplicity 2)
Tm (0.500, 0.000, 0.000) (multiplicity 1)

---

Record 6
Density functional theory data (PBE) for NaCo6Se8 after structural relaxation.

The value obtained for the raw total energy is -0.3760 Ry per atom. The magnetization is 0.000 μB per formula unit. As for the volume: 269.8 Å³/f.u.

Cell lengths 9.1553, 9.1553, 11.1522 Å; angles 90.00, 90.00, 120.00 degrees
Space group R-3 (No. 148, hexagonal axes)
Unique sites:
Na (0.0000, 0.0000, 0.0000) (multiplicity 3)
Co (0.0217, 0.1981, 0.3827) (multiplicity 18)
Se (0.0000, 0.0000, 0.2456) (multiplicity 6)
Se (0.0237, 0.3943, 0.2470) (multiplicity 18)

---

Record 7
Density functional theory data (PBE) for Li8MgAu2 after structural relaxation.

The value obtained for the raw total energy is -0.1775 Ry per atom. The energy of formation from the pure elements is -3.11 eV/f.u. As for the energy above the lowest structure with this stoichiometry: 0 meV per atom. The magnetization is 0.000 μB per formula unit. As for the volume: 190.0 Å³/f.u.

Cell lengths 13.262, 4.652, 7.378 Å; angles 90.00, 123.41, 90.00 degrees
Space group C2/m (No. 12)
Unique sites:
Li (0.042, 0.000, 0.366) (multiplicity 4)
Li (0.112, 0.500, 0.756) (multiplicity 4)
Li (0.151, 0.000, 0.056) (multiplicity 4)
Li (0.192, 0.500, 0.487) (multiplicity 4)
Mg (0.000, 0.500, 0.000) (multiplicity 2)
Au (0.231, 0.000, 0.775) (multiplicity 4)

---

Record 8
Density functional theory data (PBE) for Sn2SbPd6 after structural relaxation.

The value obtained for the raw total energy is -0.3908 Ry per atom. The magnetization is 0.000 μB per formula unit. As for the volume: 158.2 Å³/f.u.

Cell lengths 7.4286, 7.4286, 3.3103 Å; angles 90.00, 90.00, 120.00 degrees
Space group P-62m (No. 189)
Unique sites:
Sn (0.3333, 0.6667, 0.0000) (multiplicity 2)
Sb (0.0000, 0.0000, 0.5000) (multiplicity 1)
Pd (0.0000, 0.2883, 0.0000) (multiplicity 3)
Pd (0.0000, 0.6248, 0.5000) (multiplicity 3)

---

Record 9
Density functional theory data (PBE) for Sm2DyY4 after structural relaxation.

The value obtained for the raw total energy is -0.4160 Ry per atom. The energy of formation from the pure elements is 0.28 eV/f.u. As for the energy above the lowest structure with this stoichiometry: 0 meV per atom. The magnetization is 0.000 μB per formula unit. As for the volume: 229.6 Å³/f.u.

Cell lengths 16.893, 3.569, 8.791 Å; angles 90.00, 119.97, 90.00 degrees
Space group C2/m (No. 12)
Unique sites:
Sm (0.070, 0.000, 0.431) (multiplicity 4)
Dy (0.000, 0.000, 0.000) (multiplicity 2)
Y (0.144, 0.500, 0.842) (multiplicity 4)
Y (0.204, 0.500, 0.293) (multiplicity 4)

---

Record 10
Density functional theory data (PBE) for BaCuRh2 after structural relaxation.

The value obtained for the raw total energy is -0.3586 Ry per atom. The energy of formation from the pure elements is 1.21 eV/f.u. As for the energy above the lowest structure with this stoichiometry: 409 meV per atom. The magnetization is 0.000 μB per formula unit. As for the volume: 81.1 Å³/f.u.

Cell lengths 3.142, 4.366, 6.023 Å; angles 90.00, 101.14, 90.00 degrees
Space group P2/m (No. 10)
Unique sites:
Ba (0.000, 0.000, 0.000) (multiplicity 1)
Cu (0.500, 0.000, 0.500) (multiplicity 1)
Rh (0.308, 0.500, 0.677) (multiplicity 2)

---

Record 11
Density functional theory data (PBE) for Pr8SmMg2 after structural relaxation.

The value obtained for the raw total energy is -0.3079 Ry per atom. The energy of formation from the pure elements is 0.06 eV/f.u. As for the energy above the lowest structure with this stoichiometry: 0 meV per atom. The magnetization is 0.000 μB per formula unit. As for the volume: 373.4 Å³/f.u.

Cell lengths 17.606, 5.378, 8.507 Å; angles 90.00, 112.00, 90.00 degrees
Space group C2/m (No. 12)
Unique sites:
Pr (0.051, 0.000, 0.235) (multiplicity 4)
Pr (0.098, 0.500, 0.965) (multiplicity 4)
Pr (0.145, 0.000, 0.701) (multiplicity 4)
Pr (0.186, 0.500, 0.448) (multiplicity 4)
Sm (0.000, 0.500, 0.500) (multiplicity 2)
Mg (0.226, 0.000, 0.131) (multiplicity 4)

---

Record 12
Density functional theory data (PBE) for NdDy12Ho6 after structural relaxation.

The value obtained for the raw total energy is -0.3269 Ry per atom. The energy of formation from the pure elements is 2.95 eV/f.u. As for the energy above the lowest structure with this stoichiometry: 0 meV per atom. The magnetization is 0.002 μB per formula unit. As for the volume: 614.2 Å³/f.u.

Cell lengths 11.8644, 11.8644, 15.1146 Å; angles 90.00, 90.00, 120.00 degrees
Space group R-3 (No. 148, hexagonal axes)
Unique sites:
Nd (0.0000, 0.0000, 0.0000) (multiplicity 3)
Dy (0.0164, 0.1813, 0.1916) (multiplicity 18)
Dy (0.0413, 0.1902, 0.4160) (multiplicity 18)
Ho (0.0090, 0.5864, 0.6797) (multiplicity 18)